1 | This record from Alexandria describes Sc2Ti2Co after structural relaxation. The functional is GGA-PBE.

Unit cell a=6.169 b=6.169 c=4.833 alpha=90.00 beta=90.00 gamma=90.00
Space group P4/mbm (No. 127)
Inequivalent atoms, fractional coordinates:
1 Sc 0.169 0.331 0.000 [4 per cell]
2 Ti 0.151 0.651 0.500 [4 per cell]
3 Co 0.000 0.000 0.500 [2 per cell]

Results
M_tot: 0.00 μB per formula unit
Mass density: 4.42 g cm⁻³

---

2 | This record from Alexandria describes Sc2Ti2Co after structural relaxation. The functional is GGA-PBE.

Unit cell a=10.475 b=5.869 c=6.321 alpha=90.00 beta=107.47 gamma=90.00
Space group C2/c (No. 15)
Inequivalent atoms, fractional coordinates:
1 Sc 0.153 0.098 0.120 [8 per cell]
2 Ti 0.109 0.394 0.470 [8 per cell]
3 Co 0.000 0.287 0.750 [4 per cell]

Results
M_tot: 0.00 μB per formula unit
Mass density: 4.38 g cm⁻³

---

Most stable = 2